An optimized crystal structure of GaPbNF2, computed with PBEsol.

a b c (Å): 4.153 4.153 3.750
angles (deg): 90.00 90.00 90.00
Sites, in units of the cell vectors:
Ga 0.000 0.000 0.000
Pb 0.500 0.500 0.500
N 0.000 0.000 0.500
F 0.000 0.500 0.000
F 0.500 0.000 0.000

- symmetry = P4/mmm, No. 123
- total magnetic moment (μB per cell) = 0.00
- final energy (eV per atom) = -5.117

An optimized crystal structure of ZnFe3, computed with PBEsol.

a b c (Å): 2.438 3.974 4.786
angles (deg): 90.00 101.08 90.00
Sites, in units of the cell vectors:
Zn 0.000 0.000 0.000
Fe 0.256 0.500 0.740
Fe 0.500 0.000 0.500
Fe 0.744 0.500 0.260

- symmetry = P2/m, No. 10
- total magnetic moment (μB per cell) = 6.57
- final energy (eV per atom) = -7.067

An optimized crystal structure of TiInHgBi2, computed with PBEsol.

a b c (Å): 5.319 5.319 5.344
angles (deg): 90.00 90.00 90.00
Sites, in units of the cell vectors:
Ti 0.000 0.000 0.000
In 0.500 0.500 0.500
Hg 0.000 0.000 0.500
Bi 0.000 0.500 0.000
Bi 0.500 0.000 0.000

- symmetry = P4/mmm, No. 123
- total magnetic moment (μB per cell) = 0.00
- final energy (eV per atom) = -3.904

An optimized crystal structure of FeCu3Bi, computed with PBEsol.

a b c (Å): 4.438 4.438 4.438
angles (deg): 90.00 90.00 90.00
Sites, in units of the cell vectors:
Fe 0.000 0.000 0.000
Cu 0.000 0.000 0.500
Cu 0.000 0.500 0.000
Cu 0.500 0.000 0.000
Bi 0.500 0.500 0.500

- symmetry = Pm-3m, No. 221
- total magnetic moment (μB per cell) = 2.72
- final energy (eV per atom) = -4.381

Repeat the third record exactly.
An optimized crystal structure of TiInHgBi2, computed with PBEsol.

a b c (Å): 5.319 5.319 5.344
angles (deg): 90.00 90.00 90.00
Sites, in units of the cell vectors:
Ti 0.000 0.000 0.000
In 0.500 0.500 0.500
Hg 0.000 0.000 0.500
Bi 0.000 0.500 0.000
Bi 0.500 0.000 0.000

- symmetry = P4/mmm, No. 123
- total magnetic moment (μB per cell) = 0.00
- final energy (eV per atom) = -3.904

The lowest final energy belongs to which entry?
ZnFe3